No. 1
# MgGa2SnPb

An optimized crystal structure of MgGa2SnPb (PBE-GGA, Alexandria).

```
MgGa2SnPb
1.0
6.1645 0.0000 0.0000
0.0000 6.1645 0.0000
0.0000 0.0000 6.4631
Mg Ga Sn Pb
1 2 1 1
direct
0.0000 0.0000 0.0000
0.0000 0.5000 0.5000
0.5000 0.0000 0.5000
0.5000 0.5000 0.0000
0.5000 0.5000 0.5000
```

Properties
Theoretical density ... 3.3 Mg/m³
DOS at the Fermi energy ... 0.810 states/eV per atom
E_form ... 0.806 eV per atom
Total magnetization ... 0.00 μB/f.u.
Total DFT energy (no corrections) ... -2.266 eV per atom



No. 2
# MgTlGaPb

An optimized crystal structure of MgTlGaPb (PBE-GGA, Alexandria).

```
MgTlGaPb
1.0
0.0000 3.7265 3.7265
3.7265 0.0000 3.7265
3.7265 3.7265 0.0000
Mg Tl Ga Pb
1 1 1 1
direct
0.0000 0.0000 0.0000
0.2500 0.2500 0.2500
0.5000 0.5000 0.5000
0.7500 0.7500 0.7500
```

Properties
Polymorph energy (0 for the lowest one) ... 39 meV per atom
Theoretical density ... 8.1 Mg/m³
DOS at the Fermi energy ... 0.111 states/eV per atom
E_form ... 0.020 eV per atom
Total magnetization ... 0.00 μB/f.u.
Total DFT energy (no corrections) ... -2.654 eV per atom



No. 3
# Mg7Tl2GaPb2

An optimized crystal structure of Mg7Tl2GaPb2 (PBE-GGA, Alexandria).

```
Mg7Tl2GaPb2
1.0
3.1011 -3.1043 0.0000
3.1011 3.1043 0.0000
-2.9813 0.0000 15.7195
Mg Tl Ga Pb
7 2 1 2
direct
0.0000 0.0000 0.0000
0.0644 0.5647 0.1341
0.2272 0.2272 0.4560
0.4353 0.9356 0.8659
0.5647 0.0644 0.1341
0.7728 0.7728 0.5440
0.9356 0.4353 0.8659
0.1318 0.1318 0.2688
0.8682 0.8682 0.7312
0.5000 0.5000 0.0000
0.3301 0.3301 0.6523
0.6699 0.6699 0.3477
```

Properties
Theoretical density ... 5.8 Mg/m³
DOS at the Fermi energy ... 0.418 states/eV per atom
E_form ... 0.032 eV per atom
Total magnetization ... 0.00 μB/f.u.
Total DFT energy (no corrections) ... -2.163 eV per atom



No. 4
# MgTlGaPb

An optimized crystal structure of MgTlGaPb (PBE-GGA, Alexandria).

```
MgTlGaPb
1.0
3.4107 0.0000 0.0000
0.0000 3.4107 0.0000
0.0000 0.0000 8.8877
Mg Tl Ga Pb
1 1 1 1
direct
0.0000 0.0000 0.0000
0.0000 0.0000 0.5566
0.5000 0.5000 0.8101
0.5000 0.5000 0.2494
```

Properties
Polymorph energy (0 for the lowest one) ... 0 meV per atom
Theoretical density ... 8.1 Mg/m³
DOS at the Fermi energy ... 0.374 states/eV per atom
E_form ... -0.019 eV per atom
Total magnetization ... 0.00 μB/f.u.
Total DFT energy (no corrections) ... -2.693 eV per atom



No. 5
# YMgGaPb

An optimized crystal structure of YMgGaPb (PBE-GGA, Alexandria).

```
YMgGaPb
1.0
0.0000 3.6699 3.6699
3.6699 0.0000 3.6699
3.6699 3.6699 0.0000
Y Mg Ga Pb
1 1 1 1
direct
0.0000 0.0000 0.0000
0.5000 0.5000 0.5000
0.7500 0.7500 0.7500
0.2500 0.2500 0.2500
```

Properties
Theoretical density ... 6.6 Mg/m³
DOS at the Fermi energy ... 0.859 states/eV per atom
E_form ... -0.233 eV per atom
Total magnetization ... 0.00 μB/f.u.
Total DFT energy (no corrections) ... -3.932 eV per atom



No. 6
# Mg5GaPd4

An optimized crystal structure of Mg5GaPd4 (PBE-GGA, Alexandria).

```
Mg5GaPd4
1.0
3.2505 0.0000 0.0000
0.0000 3.2505 0.0000
0.0000 0.0000 15.7086
Mg Ga Pd
5 1 4
direct
0.0000 0.0000 0.0000
0.0000 0.0000 0.1958
0.0000 0.0000 0.3901
0.0000 0.0000 0.6099
0.0000 0.0000 0.8042
0.5000 0.5000 0.5000
0.5000 0.5000 0.0978
0.5000 0.5000 0.2956
0.5000 0.5000 0.7044
0.5000 0.5000 0.9022
```

Properties
Theoretical density ... 6.2 Mg/m³
DOS at the Fermi energy ... 0.277 states/eV per atom
E_form ... -0.627 eV per atom
Total magnetization ... 0.00 μB/f.u.
Total DFT energy (no corrections) ... -3.804 eV per atom



Look up the E_form of the second one. 0.020 eV per atom



Which of these has the lowest DOS at the Fermi energy? number 2